# 1
Compound: Y3Al4
Source: Alexandria
Functional: PBE-GGA
Structure: optimized geometry

Values from the calculation:
For the theoretical density, the calculation gives 3.40 Mg/m³. The excess energy over the best structure of this formula in the dataset is 572.9 meV per atom.

a = 6.4692 Å, b = 6.4692 Å, c = 5.0555 Å
α = 90.00°, β = 90.00°, γ = 120.00°
Fractional positions:
Y  0.5000  0.5000  0.0000
Y  0.5000  0.0000  0.0000
Y  0.0000  0.5000  0.0000
Al  0.0000  0.0000  0.7553
Al  0.6667  0.3333  0.5000
Al  0.0000  0.0000  0.2447
Al  0.3333  0.6667  0.5000

# 2
Compound: MgZn2Co
Source: Alexandria
Functional: PBE-GGA
Structure: optimized geometry

Values from the calculation:
For the theoretical density, the calculation gives 6.18 Mg/m³.

a = 5.0589 Å, b = 5.0516 Å, c = 2.6821 Å
α = 80.16°, β = 79.11°, γ = 116.78°
Site moments in Bohr magnetons follow the coordinates.
Fractional positions:
Co  0.0000  0.5000  0.5000  1.28
Mg  0.5000  0.5000  0.0000  0.00
Zn  0.0000  0.0000  0.0000  -0.01
Zn  0.5000  0.0000  0.5000  -0.01

no.,Fermi-level density of states (states/eV/f.u.),E_form (eV/atom)
1,8.76,0.119
2,2.96,0.079